PBE-GGA LaPm6Tm12, optimized geometry; total energy = -85.0 eV per cell; DFT formation energy = 110 meV per atom; E above lowest polymorph = 0.0000 eV per atom
1.0
5.501 3.176 5.782
-5.501 3.176 5.782
0.000 -6.352 5.782
La Pm Tm
1 6 12
direct
0.000 0.000 0.000
0.164 0.771 0.771
0.229 0.229 0.836
0.229 0.836 0.229
0.771 0.164 0.771
0.771 0.771 0.164
0.836 0.229 0.229
0.138 0.138 0.479
0.138 0.479 0.138
0.196 0.516 0.516
0.479 0.138 0.138
0.484 0.484 0.804
0.484 0.804 0.484
0.516 0.196 0.516
0.516 0.516 0.196
0.521 0.862 0.862
0.804 0.484 0.484
0.862 0.521 0.862
0.862 0.862 0.521